Material: Ga2FeP3O12
Method: DFT, SCAN
State: PBEsol geometry

Geometry as POSCAR:
```
Ga2FeP3O12
1.0
4.342 -2.465 0.000
4.342 2.465 0.000
-0.082 0.000 11.166
Ga Fe P O
2 1 3 12
Direct
0.231 0.231 0.164
0.769 0.769 0.836
0.321 0.679 0.500
0.228 0.229 0.670
0.314 0.686 0.000
0.771 0.772 0.330
0.039 0.817 0.372
0.084 0.818 0.894
0.182 0.916 0.106
0.183 0.961 0.628
0.367 0.319 0.566
0.367 0.367 0.040
0.448 0.137 0.780
0.495 0.094 0.293
0.633 0.633 0.960
0.681 0.633 0.434
0.863 0.552 0.220
0.906 0.505 0.707
```

Formation energy from raw total energies (eV per atom): -2.281
Calculated volume (Å³/f.u.): 239
Spin magnetization (μB/atom): 0.28


Material: CrSO2F
Method: DFT, SCAN
State: PBEsol geometry

Geometry as POSCAR:
```
CrSO2F
1.0
3.750 0.000 0.000
0.000 3.750 0.000
0.000 0.000 3.786
Cr S O F
1 1 2 1
Direct
0.000 0.000 0.000
0.500 0.500 0.500
0.000 0.500 0.000
0.500 0.000 0.000
0.000 0.000 0.500
```

Formation energy from raw total energies (eV per atom): -0.956
Calculated volume (Å³/f.u.): 53
Spin magnetization (μB/atom): 0.79


Material: MnSnRu3
Method: DFT, SCAN
State: PBEsol geometry

Geometry as POSCAR:
```
MnSnRu3
1.0
4.363 0.000 0.000
0.000 4.363 0.000
0.000 0.000 4.363
Mn Sn Ru
1 1 3
Direct
0.000 0.000 0.000
0.500 0.500 0.500
0.000 0.000 0.500
0.000 0.500 0.000
0.500 0.000 0.000
```

Calculated volume (Å³/f.u.): 83
Spin magnetization (μB/atom): 0.00
Energy of formation from the pure elements (eV per atom): 1.104


Material: BaTiCu2Ru
Method: DFT, SCAN
State: PBEsol geometry

Geometry as POSCAR:
```
BaTiCu2Ru
1.0
4.951 0.000 0.000
0.000 4.951 0.000
0.000 0.000 4.413
Ba Ti Cu Ru
1 1 2 1
Direct
0.000 0.000 0.000
0.500 0.500 0.000
0.000 0.500 0.500
0.500 0.000 0.500
0.500 0.500 0.500
```

Calculated volume (Å³/f.u.): 108
Spin magnetization (μB/atom): 0.00
Energy of formation from the pure elements (eV per atom): 0.308


Material: SrP2Ru
Method: DFT, SCAN
State: PBEsol geometry

Geometry as POSCAR:
```
SrP2Ru
1.0
5.794 0.000 0.000
0.000 5.794 0.000
0.000 0.000 11.845
Sr P Ru
4 8 4
Direct
0.000 0.000 0.000
0.000 0.500 0.250
0.500 0.000 0.750
0.500 0.500 0.500
0.134 0.250 0.625
0.250 0.634 0.875
0.250 0.866 0.375
0.366 0.250 0.125
0.634 0.750 0.125
0.750 0.134 0.375
0.750 0.366 0.875
0.866 0.750 0.625
0.000 0.000 0.500
0.000 0.500 0.750
0.500 0.000 0.250
0.500 0.500 0.000
```

Calculated volume (Å³/f.u.): 99
Spin magnetization (μB/atom): 0.00
Energy of formation from the pure elements (eV per atom): -0.543


Material: LaHfSiW2
Method: DFT, SCAN
State: PBEsol geometry

Geometry as POSCAR:
```
LaHfSiW2
1.0
4.764 0.000 0.000
0.000 4.764 0.000
0.000 0.000 5.055
La Hf Si W
1 1 1 2
Direct
0.000 0.000 0.000
0.000 0.000 0.500
0.500 0.500 0.500
0.000 0.500 0.000
0.500 0.000 0.000
```

Formation energy from raw total energies (eV per atom): 2.762
Calculated volume (Å³/f.u.): 115
Spin magnetization (μB/atom): 0.00


Material: MnTeOs3
Method: DFT, SCAN
State: PBEsol geometry

Geometry as POSCAR:
```
MnTeOs3
1.0
4.737 0.000 0.000
0.000 4.737 0.000
0.000 0.000 4.737
Mn Te Os
1 1 3
Direct
0.000 0.000 0.000
0.500 0.500 0.500
0.000 0.500 0.500
0.500 0.000 0.500
0.500 0.500 0.000
```

Formation energy from raw total energies (eV per atom): 2.296
Calculated volume (Å³/f.u.): 106
Spin magnetization (μB/atom): 1.04


Material: ZrBe2As
Method: DFT, SCAN
State: PBEsol geometry

Geometry as POSCAR:
```
ZrBe2As
1.0
3.822 0.000 0.000
0.000 3.822 0.000
0.000 0.000 3.695
Zr Be As
1 2 1
Direct
0.000 0.000 0.000
0.000 0.500 0.500
0.500 0.000 0.500
0.500 0.500 0.000
```

Calculated volume (Å³/f.u.): 54
Spin magnetization (μB/atom): 0.00
Energy of formation from the pure elements (eV per atom): -0.235


Material: CsAlH8N4
Method: DFT, SCAN
State: PBEsol geometry

Geometry as POSCAR:
```
CsAlH8N4
1.0
7.329 0.000 0.000
0.000 7.329 0.000
0.000 0.000 5.196
Cs Al H N
2 2 16 8
Direct
0.250 0.250 0.239
0.750 0.750 0.761
0.250 0.750 0.000
0.750 0.250 0.000
0.040 0.407 0.788
0.071 0.735 0.410
0.093 0.040 0.788
0.235 0.929 0.590
0.265 0.571 0.590
0.407 0.460 0.788
0.429 0.765 0.410
0.460 0.093 0.788
0.540 0.907 0.212
0.571 0.235 0.590
0.593 0.540 0.212
0.735 0.429 0.410
0.765 0.071 0.410
0.907 0.960 0.212
0.929 0.265 0.590
0.960 0.593 0.212
0.072 0.676 0.231
0.176 0.928 0.769
0.324 0.572 0.769
0.428 0.824 0.231
0.572 0.176 0.769
0.676 0.428 0.231
0.824 0.072 0.231
0.928 0.324 0.769
```

E_tot (eV/atom): -8.485
Calculated volume (Å³/f.u.): 140
Spin magnetization (μB/atom): 0.00


Material: CaYSb3
Method: DFT, SCAN
State: PBEsol geometry

Geometry as POSCAR:
```
CaYSb3
1.0
5.474 0.000 0.000
0.000 5.474 0.000
0.000 0.000 5.474
Ca Y Sb
1 1 3
Direct
0.000 0.000 0.000
0.500 0.500 0.500
0.000 0.000 0.500
0.000 0.500 0.000
0.500 0.000 0.000
```

Formation energy from raw total energies (eV per atom): 0.242
Calculated volume (Å³/f.u.): 164
Spin magnetization (μB/atom): 0.00


Material: Na3GaTe
Method: DFT, SCAN
State: PBEsol geometry

Geometry as POSCAR:
```
Na3GaTe
1.0
5.775 0.000 0.000
0.000 5.775 0.000
0.000 0.000 5.775
Na Ga Te
3 1 1
Direct
0.000 0.000 0.500
0.000 0.500 0.000
0.500 0.000 0.000
0.500 0.500 0.500
0.000 0.000 0.000
```

Formation energy from raw total energies (eV per atom): -0.166
Calculated volume (Å³/f.u.): 193
Spin magnetization (μB/atom): 0.36